An optimized crystal structure of NpNi2. Source: the Open Quantum Materials Database, functional PBE.

The structure in extended XYZ format:
```
6
Lattice="4.8280 0.0000 0.0000 0.0000 4.8280 0.0000 0.0000 0.0000 5.0948" Properties=species:S:1:pos:R:3 pbc="T T T"
Np 0.0000 0.0000 0.0000
Np 2.4140 2.4140 2.5474
Ni 0.7799 0.7799 2.5474
Ni 1.6341 3.1939 0.0000
Ni 3.1939 1.6341 0.0000
Ni 4.0481 4.0481 2.5474
```

## Properties
ΔH_f (0 K)   0.82 eV per atom
Total DFT energy (no corrections)   -42.90 eV/cell
Mass density   9.91 g/cm³
SG   P4_2/mnm, No. 136

=====

An optimized crystal structure of Np3Ni. Source: the Open Quantum Materials Database, functional PBE.

The structure in extended XYZ format:
```
8
Lattice="6.2613 0.0000 0.0000 -3.1306 5.4224 0.0000 0.0000 0.0000 3.9897" Properties=species:S:1:pos:R:3 pbc="T T T"
Np 0.0000 1.7830 0.9974
Np -1.5865 4.5309 0.9974
Np 1.5441 0.8915 2.9923
Np 1.5865 4.5309 0.9974
Np 4.7172 0.8915 2.9923
Np 3.1306 3.6394 2.9923
Ni 0.0000 3.6150 2.9923
Ni 3.1306 1.8075 0.9974
```

## Properties
ΔH_f (0 K)   0.26 eV per atom
Total DFT energy (no corrections)   -85.70 eV/cell
Mass density   18.87 g/cm³
SG   P6_3/mmc, No. 194
Energy above the lowest structure with this stoichiometry   0.260 eV per atom

=====

An optimized crystal structure of Np2Ni. Source: the Open Quantum Materials Database, functional PBE.

The structure in extended XYZ format:
```
6
Lattice="0.0000 5.6710 5.6710 5.6710 0.0000 5.6710 5.6710 5.6710 0.0000" Properties=species:S:1:pos:R:3 pbc="T T T"
Np 0.0000 0.0000 0.0000
Np 2.8355 2.8355 0.0000
Np 2.8355 0.0000 2.8355
Np 0.0000 2.8355 2.8355
Ni 1.4178 1.4178 1.4178
Ni 9.9243 9.9243 9.9243
```

## Properties
ΔH_f (0 K)   1.95 eV per atom
Total DFT energy (no corrections)   -50.52 eV/cell
Mass density   4.85 g/cm³
SG   Fd-3m, No. 227

=====

An optimized crystal structure of NpNi2. Source: the Open Quantum Materials Database, functional PBE.

The structure in extended XYZ format:
```
6
Lattice="0.0000 3.4728 3.4728 3.4728 0.0000 3.4728 3.4728 3.4728 0.0000" Properties=species:S:1:pos:R:3 pbc="T T T"
Np 0.8682 0.8682 0.8682
Np 6.0774 6.0774 6.0774
Ni 3.4728 1.7364 1.7364
Ni 1.7364 3.4728 1.7364
Ni 1.7364 1.7364 3.4728
Ni 3.4728 3.4728 3.4728
```

## Properties
ΔH_f (0 K)   -0.19 eV per atom
Total DFT energy (no corrections)   -48.94 eV/cell
Mass density   14.05 g/cm³
SG   Fd-3m, No. 227

=====

An optimized crystal structure of Np3Ni. Source: the Open Quantum Materials Database, functional PBE.

The structure in extended XYZ format:
```
16
Lattice="6.3928 0.0000 0.0000 0.0000 6.3928 0.0000 0.0000 0.0000 6.3928" Properties=species:S:1:pos:R:3 pbc="T T T"
Np 0.0000 0.0000 0.0000
Np 0.0000 3.1964 3.1964
Np 1.5982 1.5982 1.5982
Np 1.5982 1.5982 4.7946
Np 1.5982 4.7946 1.5982
Np 1.5982 4.7946 4.7946
Np 3.1964 0.0000 3.1964
Np 3.1964 3.1964 0.0000
Np 4.7946 1.5982 1.5982
Np 4.7946 1.5982 4.7946
Np 4.7946 4.7946 1.5982
Np 4.7946 4.7946 4.7946
Ni 0.0000 0.0000 3.1964
Ni 0.0000 3.1964 0.0000
Ni 3.1964 0.0000 0.0000
Ni 3.1964 3.1964 3.1964
```

## Properties
ΔH_f (0 K)   0.00 eV per atom
Total DFT energy (no corrections)   -175.56 eV/cell
Mass density   19.57 g/cm³
SG   Fm-3m, No. 225
Energy above the lowest structure with this stoichiometry   0.000 eV per atom

=====

An optimized crystal structure of Np3Ni. Source: the Open Quantum Materials Database, functional PBE.

The structure in extended XYZ format:
```
4
Lattice="4.1203 0.0000 0.0000 0.0000 4.1203 0.0000 0.0000 0.0000 4.1203" Properties=species:S:1:pos:R:3 pbc="T T T"
Np 0.0000 0.0000 2.0601
Np 0.0000 2.0601 0.0000
Np 2.0601 0.0000 0.0000
Ni 2.0601 2.0601 2.0601
```

## Properties
ΔH_f (0 K)   0.41 eV per atom
Total DFT energy (no corrections)   -42.23 eV/cell
Mass density   18.27 g/cm³
SG   Pm-3m, No. 221
Energy above the lowest structure with this stoichiometry   0.416 eV per atom

=====

An optimized crystal structure of NpNiOs. Source: the Open Quantum Materials Database, functional PBE.

The structure in extended XYZ format:
```
12
Lattice="5.9368 0.0000 0.0000 0.0000 5.9368 0.0000 0.0000 0.0000 5.9368" Properties=species:S:1:pos:R:3 pbc="T T T"
Np 0.0000 0.0000 0.0000
Np 0.0000 2.9684 2.9684
Np 2.9684 0.0000 2.9684
Np 2.9684 2.9684 0.0000
Ni 1.4842 1.4842 4.4526
Ni 1.4842 4.4526 1.4842
Ni 4.4526 1.4842 1.4842
Ni 4.4526 4.4526 4.4526
Os 0.0000 0.0000 2.9684
Os 0.0000 2.9684 0.0000
Os 2.9684 0.0000 0.0000
Os 2.9684 2.9684 2.9684
```

## Properties
ΔH_f (0 K)   0.36 eV per atom
Total DFT energy (no corrections)   -113.90 eV/cell
Mass density   15.42 g/cm³
SG   F-43m, No. 216
Energy above the lowest structure with this stoichiometry   0.000 eV per atom

=====

An optimized crystal structure of NpUNiOs. Source: the Open Quantum Materials Database, functional PBE.

The structure in extended XYZ format:
```
16
Lattice="6.4009 0.0000 0.0000 0.0000 6.4009 0.0000 0.0000 0.0000 6.4009" Properties=species:S:1:pos:R:3 pbc="T T T"
Np 0.0000 0.0000 0.0000
Np 0.0000 3.2005 3.2005
Np 3.2005 0.0000 3.2005
Np 3.2005 3.2005 0.0000
U 1.6002 1.6002 1.6002
U 1.6002 4.8007 4.8007
U 4.8007 1.6002 4.8007
U 4.8007 4.8007 1.6002
Ni 1.6002 1.6002 4.8007
Ni 1.6002 4.8007 1.6002
Ni 4.8007 1.6002 1.6002
Ni 4.8007 4.8007 4.8007
Os 0.0000 0.0000 3.2005
Os 0.0000 3.2005 0.0000
Os 3.2005 0.0000 0.0000
Os 3.2005 3.2005 3.2005
```

## Properties
ΔH_f (0 K)   -0.24 eV per atom
Total DFT energy (no corrections)   -167.32 eV/cell
Mass density   18.34 g/cm³
SG   F-43m, No. 216

=====

An optimized crystal structure of NpNi3P2. Source: the Open Quantum Materials Database, functional PBE.

The structure in extended XYZ format:
```
12
Lattice="7.0149 -1.8462 0.0000 7.0149 1.8462 0.0000 -2.9697 0.0000 6.2341" Properties=species:S:1:pos:R:3 pbc="T T T"
Np 1.9156 0.0000 0.4135
Np 9.1446 0.0000 5.8206
Ni -0.4821 0.0000 2.3306
Ni 2.7539 0.0000 3.5099
Ni 4.6982 0.0000 1.9584
Ni 6.3620 0.0000 4.2757
Ni 8.3063 0.0000 2.7242
Ni 11.5423 0.0000 3.9035
P 0.6459 0.0000 4.2885
P 4.3098 0.0000 5.1424
P 6.7504 0.0000 1.0917
P 10.4143 0.0000 1.9456
```

## Properties
Total DFT energy (no corrections)   -87.36 eV/cell
Mass density   9.77 g/cm³
SG   C2/m, No. 12

=====

An optimized crystal structure of NpNiP2. Source: the Open Quantum Materials Database, functional PBE.

The structure in extended XYZ format:
```
16
Lattice="3.7133 0.0000 0.0000 0.0000 3.7133 0.0000 0.0000 0.0000 18.2582" Properties=species:S:1:pos:R:3 pbc="T T T"
Np 0.0000 0.0000 2.0688
Np 0.0000 0.0000 16.1894
Np 1.8566 1.8566 7.0603
Np 1.8566 1.8566 11.1979
Ni 0.0000 1.8566 4.5645
Ni 0.0000 1.8566 13.6936
Ni 1.8566 0.0000 4.5645
Ni 1.8566 0.0000 13.6936
P 0.0000 0.0000 5.9262
P 0.0000 0.0000 12.3320
P 0.0000 1.8566 0.0000
P 0.0000 1.8566 9.1291
P 1.8566 0.0000 0.0000
P 1.8566 0.0000 9.1291
P 1.8566 1.8566 3.2029
P 1.8566 1.8566 15.0553
```

## Properties
Total DFT energy (no corrections)   -128.86 eV/cell
Mass density   9.44 g/cm³
SG   I4/mmm, No. 139

=====

An optimized crystal structure of NpPaNi. Source: the Open Quantum Materials Database, functional PBE.

The structure in extended XYZ format:
```
12
Lattice="6.2531 0.0000 0.0000 0.0000 6.2531 0.0000 0.0000 0.0000 6.2531" Properties=species:S:1:pos:R:3 pbc="T T T"
Np 0.0000 0.0000 0.0000
Np 0.0000 3.1265 3.1265
Np 3.1265 0.0000 3.1265
Np 3.1265 3.1265 0.0000
Pa 1.5633 1.5633 4.6898
Pa 1.5633 4.6898 1.5633
Pa 4.6898 1.5633 1.5633
Pa 4.6898 4.6898 4.6898
Ni 0.0000 0.0000 3.1265
Ni 0.0000 3.1265 0.0000
Ni 3.1265 0.0000 0.0000
Ni 3.1265 3.1265 3.1265
```

## Properties
ΔH_f (0 K)   0.26 eV per atom
Total DFT energy (no corrections)   -108.21 eV/cell
Mass density   14.31 g/cm³
SG   F-43m, No. 216
Energy above the lowest structure with this stoichiometry   0.000 eV per atom

=====

An optimized crystal structure of NpNiPb. Source: the Open Quantum Materials Database, functional PBE.

The structure in extended XYZ format:
```
12
Lattice="6.6239 0.0000 0.0000 0.0000 6.6239 0.0000 0.0000 0.0000 6.6239" Properties=species:S:1:pos:R:3 pbc="T T T"
Np 0.0000 0.0000 0.0000
Np 0.0000 3.3119 3.3119
Np 3.3119 0.0000 3.3119
Np 3.3119 3.3119 0.0000
Ni 0.0000 0.0000 3.3119
Ni 0.0000 3.3119 0.0000
Ni 3.3119 0.0000 0.0000
Ni 3.3119 3.3119 3.3119
Pb 1.6560 1.6560 4.9679
Pb 1.6560 4.9679 1.6560
Pb 4.9679 1.6560 1.6560
Pb 4.9679 4.9679 4.9679
```

## Properties
Total DFT energy (no corrections)   -73.95 eV/cell
Mass density   11.49 g/cm³
SG   F-43m, No. 216